1.
## Mg3BrF (PBE)

Data for crystalline Mg3BrF at its relaxed geometry. Values from VASP.

total moment: 0.81 Bohr magnetons per cell
E above lowest polymorph: 747.2 meV/atom
space group: Pm-3m, No. 221

Cell and atoms, written as Quantum ESPRESSO input:
```
&SYSTEM
  ibrav = 0, nat = 5, ntyp = 3
/
ATOMIC_SPECIES
Mg 24.30 Mg.upf
Br 79.90 Br.upf
F 19.00 F.upf
CELL_PARAMETERS angstrom
5.592 0.000 0.000
0.000 5.592 0.000
0.000 0.000 5.592
ATOMIC_POSITIONS crystal
Mg 0.000 0.000 0.500
Mg 0.000 0.500 0.000
Mg 0.500 0.000 0.000
Br 0.000 0.000 0.000
F 0.500 0.500 0.500
```

2.
## Mg3BrF (PBE)

Data for crystalline Mg3BrF at its relaxed geometry. Values from VASP.

total moment: 0.00 Bohr magnetons per cell
E above lowest polymorph: 0.0 meV/atom
space group: Pm-3m, No. 221

Cell and atoms, written as Quantum ESPRESSO input:
```
&SYSTEM
  ibrav = 0, nat = 5, ntyp = 3
/
ATOMIC_SPECIES
Mg 24.30 Mg.upf
Br 79.90 Br.upf
F 19.00 F.upf
CELL_PARAMETERS angstrom
4.847 0.000 0.000
0.000 4.847 0.000
0.000 0.000 4.847
ATOMIC_POSITIONS crystal
Mg 0.000 0.000 0.500
Mg 0.000 0.500 0.000
Mg 0.500 0.000 0.000
Br 0.500 0.500 0.500
F 0.000 0.000 0.000
```

3.
## MgBrF (PBE)

Data for crystalline MgBrF at its relaxed geometry. Values from VASP.

total moment: 0.00 Bohr magnetons per cell
E above lowest polymorph: 0.0 meV/atom
space group: Imma, No. 74

Cell and atoms, written as Quantum ESPRESSO input:
```
&SYSTEM
  ibrav = 0, nat = 12, ntyp = 3
/
ATOMIC_SPECIES
Mg 24.30 Mg.upf
Br 79.90 Br.upf
F 19.00 F.upf
CELL_PARAMETERS angstrom
3.923 0.000 0.000
0.000 5.432 0.000
0.000 0.000 11.080
ATOMIC_POSITIONS crystal
Mg 0.000 0.250 0.136
Mg 0.000 0.750 0.864
Mg 0.500 0.250 0.364
Mg 0.500 0.750 0.636
Br 0.000 0.250 0.899
Br 0.000 0.750 0.101
Br 0.500 0.250 0.601
Br 0.500 0.750 0.399
F 0.000 0.250 0.323
F 0.000 0.750 0.677
F 0.500 0.250 0.177
F 0.500 0.750 0.823
```

4.
## MgBr3F (PBE)

Data for crystalline MgBr3F at its relaxed geometry. Values from VASP.

total moment: 2.00 Bohr magnetons per cell
E above lowest polymorph: 0.0 meV/atom
space group: Pm-3m, No. 221

Cell and atoms, written as Quantum ESPRESSO input:
```
&SYSTEM
  ibrav = 0, nat = 5, ntyp = 3
/
ATOMIC_SPECIES
Mg 24.30 Mg.upf
Br 79.90 Br.upf
F 19.00 F.upf
CELL_PARAMETERS angstrom
5.222 0.000 0.000
0.000 5.222 0.000
0.000 0.000 5.222
ATOMIC_POSITIONS crystal
Mg 0.000 0.000 0.000
Br 0.000 0.000 0.500
Br 0.000 0.500 0.000
Br 0.500 0.000 0.000
F 0.500 0.500 0.500
```

5.
## MgBrF (PBE)

Data for crystalline MgBrF at its relaxed geometry. Values from VASP.

total moment: 0.00 Bohr magnetons per cell
E above lowest polymorph: 156.3 meV/atom
space group: P3m1, No. 156

Cell and atoms, written as Quantum ESPRESSO input:
```
&SYSTEM
  ibrav = 0, nat = 3, ntyp = 3
/
ATOMIC_SPECIES
Mg 24.30 Mg.upf
Br 79.90 Br.upf
F 19.00 F.upf
CELL_PARAMETERS angstrom
3.519 0.000 0.000
-1.760 3.048 0.000
0.000 0.000 5.527
ATOMIC_POSITIONS crystal
Mg 0.000 0.000 0.000
Br 0.333 0.667 0.696
F 0.667 0.333 0.134
```

6.
## MgBrF (PBE)

Data for crystalline MgBrF at its relaxed geometry. Values from VASP.

total moment: 0.00 Bohr magnetons per cell
E above lowest polymorph: 92.8 meV/atom
space group: P4/mmm, No. 123

Cell and atoms, written as Quantum ESPRESSO input:
```
&SYSTEM
  ibrav = 0, nat = 3, ntyp = 3
/
ATOMIC_SPECIES
Mg 24.30 Mg.upf
Br 79.90 Br.upf
F 19.00 F.upf
CELL_PARAMETERS angstrom
3.957 0.000 0.000
0.000 3.957 0.000
0.000 0.000 3.799
ATOMIC_POSITIONS crystal
Mg 0.000 0.000 0.000
Br 0.500 0.500 0.000
F 0.000 0.000 0.500
```

7.
## MgBrF2 (PBE)

Data for crystalline MgBrF2 at its relaxed geometry. Values from VASP.

total moment: 4.00 Bohr magnetons per cell
E above lowest polymorph: 1135.4 meV/atom
space group: Fm-3m, No. 225

Cell and atoms, written as Quantum ESPRESSO input:
```
&SYSTEM
  ibrav = 0, nat = 16, ntyp = 3
/
ATOMIC_SPECIES
Mg 24.30 Mg.upf
Br 79.90 Br.upf
F 19.00 F.upf
CELL_PARAMETERS angstrom
6.200 0.000 0.000
0.000 6.200 0.000
0.000 0.000 6.200
ATOMIC_POSITIONS crystal
Mg 0.000 0.000 0.000
Mg 0.000 0.500 0.500
Mg 0.500 0.000 0.500
Mg 0.500 0.500 0.000
Br 0.000 0.000 0.500
Br 0.000 0.500 0.000
Br 0.500 0.000 0.000
Br 0.500 0.500 0.500
F 0.250 0.250 0.250
F 0.250 0.250 0.750
F 0.250 0.750 0.250
F 0.250 0.750 0.750
F 0.750 0.250 0.250
F 0.750 0.250 0.750
F 0.750 0.750 0.250
F 0.750 0.750 0.750
```

8.
## MgBrF2 (PBE)

Data for crystalline MgBrF2 at its relaxed geometry. Values from VASP.

total moment: 0.00 Bohr magnetons per cell
E above lowest polymorph: 1186.1 meV/atom
space group: R-3m, No. 166

Cell and atoms, written as Quantum ESPRESSO input:
```
&SYSTEM
  ibrav = 0, nat = 12, ntyp = 3
/
ATOMIC_SPECIES
Mg 24.30 Mg.upf
Br 79.90 Br.upf
F 19.00 F.upf
CELL_PARAMETERS angstrom
3.396 0.000 0.000
-1.698 2.941 0.000
0.000 0.000 28.556
ATOMIC_POSITIONS crystal
Mg 0.000 0.000 0.000
Mg 0.333 0.667 0.667
Mg 0.667 0.333 0.333
Br 0.000 0.000 0.500
Br 0.333 0.667 0.167
Br 0.667 0.333 0.833
F 0.000 0.000 0.061
F 0.000 0.000 0.939
F 0.333 0.667 0.605
F 0.333 0.667 0.728
F 0.667 0.333 0.272
F 0.667 0.333 0.395
```

| no. | DOS(E_F) (states/eV per atom) | ΔE_f (raw) (kJ per mole of atoms) |
| --- | --- | --- |
| 1 | 1.159 | 7.4 |
| 2 | 0.423 | -64.7 |
| 3 | 0.000 | -236.5 |
| 4 | 1.649 | -50.7 |
| 5 | 0.000 | -221.4 |
| 6 | 0.000 | -227.5 |
| 7 | 1.087 | -128.4 |
| 8 | 0.647 | -123.5 |